# 1
ZrTeSe: optimized geometry, GGA-PBEsol.

Computed properties:
energy relative to the elements, uncorrected = -933 meV per atom
energy above the most stable polymorph in this dataset = 178 meV/atom
uncorrected energy = -6.42 eV/atom
N(E_F) = 0.24 states/eV/atom

abc: 3.3248 3.3248 13.0671
angles: 90.00 90.00 90.00
Space group I4mm (No. 107)
Asymmetric unit:
Zr 0.0000 0.0000 0.0000 [2 per cell]
Te 0.0000 0.0000 0.3416 [2 per cell]
Se 0.0000 0.0000 0.6091 [2 per cell]

---

# 2
ZrTeSe: optimized geometry, GGA-PBEsol.

Computed properties:
energy relative to the elements, uncorrected = -1110 meV per atom
energy above the most stable polymorph in this dataset = 0 meV/atom
uncorrected energy = -6.60 eV/atom
N(E_F) = 0.24 states/eV/atom

abc: 3.7918 3.7918 6.4047
angles: 90.00 90.00 120.00
Space group P3m1 (No. 156)
Asymmetric unit:
Zr 0.0000 0.0000 0.0000 [1 per cell]
Te 0.6667 0.3333 0.2963 [1 per cell]
Se 0.3333 0.6667 0.7630 [1 per cell]

---

# 3
ThSe: optimized geometry, GGA-PBEsol.

Computed properties:
energy relative to the elements, uncorrected = -1600 meV per atom
uncorrected energy = -7.58 eV/atom
N(E_F) = 0.74 states/eV/atom

abc: 5.8744 5.8744 5.8744
angles: 90.00 90.00 90.00
Space group Fm-3m (No. 225)
Asymmetric unit:
Th 0.0000 0.0000 0.0000 [4 per cell]
Se 0.0000 0.0000 0.5000 [4 per cell]

---

# 4
Ti45Se16: optimized geometry, GGA-PBEsol.

Computed properties:
energy relative to the elements, uncorrected = -725 meV per atom
uncorrected energy = -7.87 eV/atom
N(E_F) = 0.91 states/eV/atom

abc: 35.1274 3.3994 16.2791
angles: 90.00 91.86 90.00
Space group C2/m (No. 12)
Asymmetric unit:
Ti 0.0000 0.0000 0.0000 [2 per cell]
Ti 0.0061 0.0000 0.7062 [4 per cell]
Ti 0.0210 0.5000 0.4081 [4 per cell]
Ti 0.0283 0.5000 0.8680 [4 per cell]
Ti 0.0362 0.0000 0.5443 [4 per cell]
Ti 0.0530 0.5000 0.2535 [4 per cell]
Ti 0.0600 0.5000 0.0593 [4 per cell]
Ti 0.0663 0.5000 0.6665 [4 per cell]
Ti 0.0869 0.0000 0.9498 [4 per cell]
Ti 0.0893 0.0000 0.3748 [4 per cell]
Ti 0.1039 0.0000 0.1648 [4 per cell]
Ti 0.1212 0.5000 0.8330 [4 per cell]
Ti 0.1326 0.0000 0.5672 [4 per cell]
Ti 0.1447 0.5000 0.0307 [4 per cell]
Ti 0.1572 0.5000 0.4345 [4 per cell]
Ti 0.1812 0.0000 0.2972 [4 per cell]
Ti 0.1855 0.0000 0.7510 [4 per cell]
Ti 0.1980 0.5000 0.6001 [4 per cell]
Ti 0.2103 0.5000 0.8844 [4 per cell]
Ti 0.2176 0.0000 0.4841 [4 per cell]
Ti 0.2202 0.0000 0.0155 [4 per cell]
Ti 0.2283 0.5000 0.1589 [4 per cell]
Ti 0.2386 0.5000 0.3653 [4 per cell]
Se 0.0277 0.0000 0.1496 [4 per cell]
Se 0.0699 0.0000 0.7896 [4 per cell]
Se 0.0868 0.5000 0.4971 [4 per cell]
Se 0.1258 0.5000 0.2828 [4 per cell]
Se 0.1381 0.5000 0.6852 [4 per cell]
Se 0.1596 0.0000 0.9151 [4 per cell]
Se 0.1740 0.0000 0.1375 [4 per cell]
Se 0.2406 0.5000 0.7400 [4 per cell]

---

# 5
Ti3Se4: optimized geometry, GGA-PBEsol.

Computed properties:
energy relative to the elements, uncorrected = -1267 meV per atom
energy above the most stable polymorph in this dataset = 0 meV/atom
uncorrected energy = -7.03 eV/atom
N(E_F) = 0.29 states/eV/atom

abc: 9.7925 9.7925 3.4952
angles: 90.00 90.00 120.00
Space group P6_3/m (No. 176)
Asymmetric unit:
Ti 0.1291 0.4889 0.2500 [6 per cell]
Se 0.0522 0.7017 0.2500 [6 per cell]
Se 0.3333 0.6667 0.7500 [2 per cell]

---

# 6
TiSe: optimized geometry, GGA-PBEsol.

Computed properties:
energy relative to the elements, uncorrected = -1193 meV per atom
uncorrected energy = -7.28 eV/atom
N(E_F) = 0.57 states/eV/atom

abc: 3.3575 3.3575 6.7592
angles: 90.00 90.00 120.00
Space group P6_3/mmc (No. 194)
Asymmetric unit:
Ti 0.0000 0.0000 0.0000 [2 per cell]
Se 0.3333 0.6667 0.2500 [2 per cell]

---

# 7
Ti3Se4: optimized geometry, GGA-PBEsol.

Computed properties:
energy relative to the elements, uncorrected = -1220 meV per atom
energy above the most stable polymorph in this dataset = 47 meV/atom
uncorrected energy = -6.99 eV/atom
N(E_F) = 0.80 states/eV/atom

abc: 13.4087 3.4667 6.3640
angles: 90.00 117.51 90.00
Space group C2/m (No. 12)
Asymmetric unit:
Ti 0.0000 0.0000 0.0000 [2 per cell]
Ti 0.2486 0.5000 0.7056 [4 per cell]
Se 0.1089 0.0000 0.4478 [4 per cell]
Se 0.1333 0.5000 0.9609 [4 per cell]

---

# 8
Ti9Se2: optimized geometry, GGA-PBEsol.

Computed properties:
energy relative to the elements, uncorrected = -495 meV per atom
uncorrected energy = -8.00 eV/atom
N(E_F) = 1.09 states/eV/atom

abc: 6.7113 15.3178 3.4216
angles: 90.00 90.00 90.00
Space group Pbam (No. 55)
Asymmetric unit:
Ti 0.0000 0.0000 0.0000 [2 per cell]
Ti 0.0964 0.1402 0.5000 [4 per cell]
Ti 0.1107 0.5766 0.0000 [4 per cell]
Ti 0.2214 0.4428 0.5000 [4 per cell]
Ti 0.2225 0.7895 0.0000 [4 per cell]
Se 0.0198 0.6966 0.5000 [4 per cell]

---

# 9
TiSe: optimized geometry, GGA-PBEsol.

Computed properties:
energy relative to the elements, uncorrected = -1200 meV per atom
uncorrected energy = -7.29 eV/atom
N(E_F) = 0.50 states/eV/atom

abc: 6.4098 3.4048 6.1736
angles: 90.00 90.00 90.00
Space group Pnma (No. 62)
Asymmetric unit:
Ti 0.0067 0.2500 0.1953 [4 per cell]
Se 0.2155 0.2500 0.5774 [4 per cell]

---

# 10
TiSe: optimized geometry, GGA-PBEsol.

Computed properties:
energy relative to the elements, uncorrected = -814 meV per atom
uncorrected energy = -6.90 eV/atom
N(E_F) = 0.94 states/eV/atom

abc: 4.1272 4.1272 5.2800
angles: 90.00 90.00 90.00
Space group P4/nmm (No. 129, origin choice 2)
Asymmetric unit:
Ti 0.2500 0.7500 0.0000 [2 per cell]
Se 0.2500 0.2500 0.2689 [2 per cell]

---

# 11
Ti19Se20: optimized geometry, GGA-PBEsol.

Computed properties:
energy relative to the elements, uncorrected = -1191 meV per atom
uncorrected energy = -7.22 eV/atom
N(E_F) = 0.65 states/eV/atom

abc: 6.7710 9.4988 11.1463
angles: 90.77 98.73 110.88
Space group P-1 (No. 2)
Asymmetric unit:
Ti 0.0000 0.0000 0.0000 [1 per cell]
Ti 0.0000 0.5000 0.0000 [1 per cell]
Ti 0.0993 0.3988 0.6030 [2 per cell]
Ti 0.0996 0.8985 0.6052 [2 per cell]
Ti 0.1923 0.7918 0.2053 [2 per cell]
Ti 0.1942 0.2870 0.2020 [2 per cell]
Ti 0.2976 0.2079 0.7947 [2 per cell]
Ti 0.3048 0.7080 0.8026 [2 per cell]
Ti 0.3987 0.1022 0.3944 [2 per cell]
Ti 0.3991 0.6011 0.3975 [2 per cell]
Ti 0.5000 0.5000 0.0000 [1 per cell]
Se 0.0349 0.8847 0.3694 [2 per cell]
Se 0.0637 0.5096 0.2326 [2 per cell]
Se 0.1331 0.2834 0.9655 [2 per cell]
Se 0.1777 0.9241 0.8383 [2 per cell]
Se 0.2328 0.6829 0.5669 [2 per cell]
Se 0.2671 0.3176 0.4343 [2 per cell]
Se 0.3343 0.0757 0.1616 [2 per cell]
Se 0.3686 0.7197 0.0347 [2 per cell]
Se 0.4374 0.4900 0.7671 [2 per cell]
Se 0.4662 0.1165 0.6311 [2 per cell]

---

# 12
TiTl4Se4: optimized geometry, GGA-PBEsol.

Computed properties:
energy relative to the elements, uncorrected = -600 meV per atom
uncorrected energy = -4.41 eV/atom
N(E_F) = 0.00 states/eV/atom

abc: 8.3973 8.2834 15.6101
angles: 90.00 103.52 90.00
Space group P2_1/c (No. 14)
Asymmetric unit:
Ti 0.2049 0.1123 0.3760 [4 per cell]
Tl 0.0350 0.0049 0.1273 [4 per cell]
Tl 0.1945 0.1080 0.6264 [4 per cell]
Tl 0.3943 0.7063 0.3623 [4 per cell]
Tl 0.4005 0.6760 0.6113 [4 per cell]
Se 0.0576 0.6750 0.2163 [4 per cell]
Se 0.1749 0.6182 0.9634 [4 per cell]
Se 0.2943 0.1578 0.9652 [4 per cell]
Se 0.3978 0.0526 0.2906 [4 per cell]

---

# 13
Ti2TlSe: optimized geometry, GGA-PBEsol.

Computed properties:
energy relative to the elements, uncorrected = -136 meV per atom
uncorrected energy = -5.92 eV/atom
N(E_F) = 1.52 states/eV/atom

abc: 6.5786 6.5786 6.5786
angles: 90.00 90.00 90.00
Space group Fm-3m (No. 225)
Asymmetric unit:
Ti 0.2500 0.2500 0.2500 [8 per cell]
Tl 0.0000 0.0000 0.0000 [4 per cell]
Se 0.0000 0.0000 0.5000 [4 per cell]

---

# 14
TiVSe4: optimized geometry, GGA-PBEsol.

Computed properties:
energy relative to the elements, uncorrected = -910 meV per atom
uncorrected energy = -6.47 eV/atom
N(E_F) = 0.62 states/eV/atom

abc: 5.8517 3.3718 5.9709
angles: 90.00 90.11 90.00
Space group P2/m (No. 10)
Asymmetric unit:
Ti 0.0000 0.0000 0.0000 [1 per cell]
V 0.5000 0.5000 0.0000 [1 per cell]
Se 0.1722 0.5000 0.2638 [2 per cell]
Se 0.3385 0.0000 0.7403 [2 per cell]

---

# 15
Ti2VSe4: optimized geometry, GGA-PBEsol.

Computed properties:
energy relative to the elements, uncorrected = -1059 meV per atom
energy above the most stable polymorph in this dataset = 16 meV/atom
uncorrected energy = -7.01 eV/atom
N(E_F) = 0.82 states/eV/atom

abc: 13.3120 3.4093 6.2698
angles: 90.00 116.61 90.00
Space group Cm (No. 8)
Asymmetric unit:
Ti 0.0000 0.0000 0.0000 [2 per cell]
Ti 0.2465 0.5000 0.6937 [2 per cell]
V 0.2535 0.0000 0.3093 [2 per cell]
Se 0.1065 0.0000 0.4462 [2 per cell]
Se 0.1403 0.5000 0.9769 [2 per cell]
Se 0.3620 0.0000 0.0362 [2 per cell]
Se 0.3917 0.5000 0.5471 [2 per cell]

---

# 16
Ti2VSe4: optimized geometry, GGA-PBEsol.

Computed properties:
energy relative to the elements, uncorrected = -1075 meV per atom
energy above the most stable polymorph in this dataset = 0 meV/atom
uncorrected energy = -7.03 eV/atom
N(E_F) = 0.53 states/eV/atom

abc: 13.3415 3.4585 6.2443
angles: 90.00 116.90 90.00
Space group C2/m (No. 12)
Asymmetric unit:
Ti 0.2472 0.0000 0.2125 [4 per cell]
V 0.0000 0.5000 0.5000 [2 per cell]
Se 0.1100 0.5000 0.9464 [4 per cell]
Se 0.1294 0.0000 0.4610 [4 per cell]

---

# 17
Y3TiSe: optimized geometry, GGA-PBEsol.

Computed properties:
energy relative to the elements, uncorrected = 344 meV per atom
uncorrected energy = -6.18 eV/atom
N(E_F) = 1.16 states/eV/atom

abc: 5.2245 5.2245 5.2245
angles: 90.00 90.00 90.00
Space group Pm-3m (No. 221)
Asymmetric unit:
Y 0.0000 0.0000 0.5000 [3 per cell]
Ti 0.0000 0.0000 0.0000 [1 per cell]
Se 0.5000 0.5000 0.5000 [1 per cell]

---

# 18
YTiSe2: optimized geometry, GGA-PBEsol.

Computed properties:
energy relative to the elements, uncorrected = -836 meV per atom
uncorrected energy = -6.55 eV/atom
N(E_F) = 0.99 states/eV/atom

abc: 3.8903 3.8903 24.8511
angles: 90.00 90.00 120.00
Space group R-3m (No. 166, hexagonal axes)
Asymmetric unit:
Y 0.0000 0.0000 0.0000 [3 per cell]
Ti 0.0000 0.0000 0.5000 [3 per cell]
Se 0.0000 0.0000 0.4004 [6 per cell]

---

# 19
TiZnSe2: optimized geometry, GGA-PBEsol.

Computed properties:
energy relative to the elements, uncorrected = -537 meV per atom
uncorrected energy = -4.94 eV/atom
N(E_F) = 0.99 states/eV/atom

abc: 5.8398 5.8398 11.0121
angles: 90.00 90.00 90.00
Space group I-42d (No. 122)
Asymmetric unit:
Ti 0.0000 0.0000 0.0000 [4 per cell]
Zn 0.0000 0.0000 0.5000 [4 per cell]
Se 0.2395 0.2500 0.6250 [8 per cell]

---

# 20
TlSe3: optimized geometry, GGA-PBEsol.

Computed properties:
energy relative to the elements, uncorrected = 295 meV per atom
uncorrected energy = -3.25 eV/atom
N(E_F) = 0.95 states/eV/atom

abc: 5.6131 5.6131 2.8954
angles: 90.00 90.00 90.00
Space group P4/mmm (No. 123)
Asymmetric unit:
Tl 0.0000 0.0000 0.0000 [1 per cell]
Se 0.0000 0.5000 0.5000 [2 per cell]
Se 0.5000 0.5000 0.0000 [1 per cell]